# 1
Density functional theory data (PBE) for La2AsAu after structural relaxation.

Output
total moment	0.000	μB per atom
ΔE_f	-1.1658	eV/atom
electronic total energy	-0.4124	Ry/atom

The structure in POSCAR format:
```
La2AsAu
1.0
-3.735 -0.443 -2.391
2.158 -2.040 -2.993
-3.421 -9.751 7.151
As La Au
2 4 2
direct
0.750 0.812 0.623
0.250 0.188 0.377
0.750 0.689 0.378
0.750 0.932 0.864
0.250 0.068 0.136
0.250 0.311 0.622
0.750 0.542 0.084
0.250 0.458 0.916
```

---

# 2
Density functional theory data (PBE) for LaAsAu2 after structural relaxation.

Output
total moment	0.000	μB per atom
ΔE_f	-0.5953	eV/atom
electronic total energy	-0.3402	Ry/atom

The structure in POSCAR format:
```
LaAsAu2
1.0
-1.484 3.362 -4.393
-3.015 -0.981 -4.770
-5.064 1.945 -1.838
Au As La
2 1 1
direct
0.026 0.026 0.026
0.474 0.474 0.474
0.750 0.750 0.750
0.250 0.250 0.250
```

---

# 3
Density functional theory data (PBE) for La2AsAu after structural relaxation.

Output
total moment	0.160	μB per atom
ΔE_f	-1.0906	eV/atom
electronic total energy	-0.4069	Ry/atom

The structure in POSCAR format:
```
La2AsAu
1.0
-2.067 3.020 -2.268
-1.790 -1.004 -3.785
-7.679 -1.080 1.459
La Au As
2 1 1
direct
0.496 0.496 0.514
0.004 0.004 0.986
0.250 0.250 0.250
0.750 0.750 0.750
```

---

# 4
Density functional theory data (PBE) for LaAs2Au after structural relaxation.

Output
total moment	0.000	μB per atom
ΔE_f	-0.3206	eV/atom
electronic total energy	-0.3452	Ry/atom

The structure in POSCAR format:
```
LaAs2Au
1.0
-0.308 3.812 0.997
-3.835 -0.062 -0.950
-1.369 -1.582 5.629
La As Au
1 2 1
direct
0.500 0.500 0.750
0.000 0.000 0.036
0.000 0.000 0.464
0.500 0.500 0.250
```

---

# 5
Density functional theory data (PBE) for LaAsAu2 after structural relaxation.

Output
total moment	0.000	μB per atom
ΔE_f	-0.6824	eV/atom
electronic total energy	-0.3466	Ry/atom

The structure in POSCAR format:
```
LaAsAu2
1.0
-4.248 -2.838 -0.033
2.720 -4.101 -1.371
1.400 3.209 4.260
As Au La
1 2 1
direct
0.691 0.309 0.500
0.273 0.727 0.500
0.039 0.961 0.000
0.496 0.504 0.000
```

---

# 6
Density functional theory data (PBE) for LaAs2Au after structural relaxation.

Output
total moment	0.000	μB per atom
ΔE_f	-0.6516	eV/atom
electronic total energy	-0.3695	Ry/atom

The structure in POSCAR format:
```
LaAs2Au
1.0
-5.045 0.116 0.921
0.636 -1.933 3.724
0.485 4.126 2.139
La As Au
1 2 1
direct
0.500 0.754 0.774
0.500 0.250 0.248
0.000 0.144 0.987
0.000 0.351 0.490
```

---

# 7
Density functional theory data (PBE) for La2AsAu after structural relaxation.

Output
total moment	0.078	μB per atom
ΔE_f	-1.0587	eV/atom
electronic total energy	-0.4045	Ry/atom

The structure in POSCAR format:
```
La2AsAu
1.0
-4.172 -4.026 1.913
-1.505 -5.867 -0.764
2.735 -1.162 3.524
As La Au
1 2 1
direct
0.470 0.470 0.625
0.007 0.007 0.125
0.741 0.741 0.625
0.281 0.281 0.125
```

---

# 8
Density functional theory data (PBE) for LaAs2Au after structural relaxation.

Output
total moment	0.000	μB per atom
ΔE_f	-0.5978	eV/atom
electronic total energy	-0.3656	Ry/atom

The structure in POSCAR format:
```
LaAs2Au
1.0
5.629 -0.003 -0.002
3.673 4.265 -0.002
3.673 1.683 3.919
As Au La
2 1 1
direct
0.258 0.258 0.258
0.966 0.966 0.966
0.522 0.522 0.522
0.754 0.754 0.754
```

---

# 9
Density functional theory data (PBE) for LaAs4Au after structural relaxation.

Output
total moment	0.000	μB per atom
ΔE_f	-0.2531	eV/atom
electronic total energy	-0.3469	Ry/atom

The structure in POSCAR format:
```
LaAs4Au
1.0
-5.438 -0.892 1.375
-3.985 3.704 -1.630
-3.745 -1.444 -4.018
La As Au
1 4 1
direct
0.000 0.000 0.000
0.379 0.379 0.862
0.862 0.379 0.379
0.379 0.862 0.379
0.379 0.379 0.379
0.750 0.750 0.750
```

---

# 10
Density functional theory data (PBE) for LaAs2Au after structural relaxation.

Output
total moment	0.000	μB per atom
ΔE_f	-0.4645	eV/atom
electronic total energy	-0.3558	Ry/atom

The structure in POSCAR format:
```
LaAs2Au
1.0
-2.998 -2.253 0.007
2.183 -2.907 -0.921
0.971 -1.273 6.320
As La Au
2 1 1
direct
0.000 0.000 0.059
0.500 0.500 0.214
0.500 0.500 0.747
0.000 0.000 0.480
```

---

# 11
Density functional theory data (PBE) for La2AsAu after structural relaxation.

Output
total moment	0.000	μB per atom
ΔE_f	-1.0296	eV/atom
electronic total energy	-0.4024	Ry/atom

The structure in POSCAR format:
```
La2AsAu
1.0
3.815 0.000 0.000
0.000 3.811 0.052
0.000 3.675 7.323
Au As La
1 1 2
direct
0.500 0.750 0.750
0.500 0.250 0.250
0.000 0.988 0.014
0.000 0.512 0.486
```

---

# 12
Density functional theory data (PBE) for La2AsAu after structural relaxation.

Output
total moment	0.000	μB per atom
ΔE_f	-0.9153	eV/atom
electronic total energy	-0.3940	Ry/atom

The structure in POSCAR format:
```
La2AsAu
1.0
-3.649 -5.169 0.745
0.417 -5.027 -3.892
3.756 3.852 3.412
As La Au
1 2 1
direct
0.500 0.500 0.000
0.250 0.750 0.500
0.000 0.000 0.000
0.750 0.250 0.500
```

---

# 13
Density functional theory data (PBE) for LaAs2Au after structural relaxation.

Output
total moment	0.000	μB per atom
ΔE_f	-0.6230	eV/atom
electronic total energy	-0.3674	Ry/atom

The structure in POSCAR format:
```
LaAs2Au
1.0
5.930 -0.420 0.382
4.098 4.307 0.382
2.262 0.877 3.820
La Au As
1 1 2
direct
0.750 0.750 0.750
0.250 0.250 0.250
0.498 0.498 0.623
0.002 0.002 0.877
```

---

# 14
Density functional theory data (PBE) for LaAsAu2 after structural relaxation.

Output
total moment	0.000	μB per atom
ΔE_f	-0.6507	eV/atom
electronic total energy	-0.3442	Ry/atom

The structure in POSCAR format:
```
LaAsAu2
1.0
-3.403 2.084 2.538
-2.505 -0.510 -2.940
-1.387 -4.741 2.034
As Au La
1 2 1
direct
0.500 0.750 0.750
0.000 0.749 0.003
0.000 0.751 0.497
0.500 0.250 0.250
```